# Na2TbPm3Te6

Na2TbPm3Te6 after structural relaxation (PBE, Alexandria).

Geometry as CIF:
```
data_Na2TbPm3Te6
_space_group_name_H-M_alt 'C 1 2/m 1'
_space_group_IT_number 12
_cell_length_a 7.726
_cell_length_b 13.371
_cell_length_c 7.790
_cell_angle_alpha 90.00
_cell_angle_beta 109.23
_cell_angle_gamma 90.00
loop_
_space_group_symop_operation_xyz
'x,y,z'
'-x,-y,-z'
'-x,y,-z'
'x,-y,z'
'x+1/2,y+1/2,z'
'-x+1/2,-y+1/2,-z'
'-x+1/2,y+1/2,-z'
'x+1/2,-y+1/2,z'
loop_
_atom_site_label
_atom_site_type_symbol
_atom_site_fract_x
_atom_site_fract_y
_atom_site_fract_z
Na1 Na 0.000 0.166 0.000
Tb1 Tb 0.000 0.500 0.000
Pm1 Pm 0.000 0.000 0.500
Pm2 Pm 0.000 0.330 0.500
Te1 Te 0.245 0.500 0.750
Te2 Te 0.246 0.335 0.246
```

## Properties
- Formation energy without anion corrections: -1.350 eV per atom
- Calculated total energy: -0.346 Ry per atom
- Crystal system: monoclinic